A relaxed structure of YZnGaCo, computed with PBE.

Computed properties:
offset from the most stable computed form = 0.000 eV per atom

Cell: 6.432 6.432 6.432 Å, 90.00 90.00 90.00°
Space group F-43m (No. 216)
Symmetry-distinct sites (fractional):
Y 0.000 0.000 0.000 [4 per cell]
Zn 0.250 0.250 0.750 [4 per cell]
Ga 0.250 0.250 0.250 [4 per cell]
Co 0.000 0.000 0.500 [4 per cell]

---

A relaxed structure of Tb3Bi2Sb, computed with PBE.

Computed properties:
VASP energy = -5.33 eV/atom

Cell: 4.4483 4.4483 10.9117 Å, 90.00 90.00 120.00°
Space group P-3m1 (No. 164)
Symmetry-distinct sites (fractional):
Tb 0.0000 0.0000 0.0000 [1 per cell]
Tb 0.3333 0.6667 0.3382 [2 per cell]
Bi 0.3333 0.6667 0.8313 [2 per cell]
Sb 0.0000 0.0000 0.5000 [1 per cell]

---

A relaxed structure of Sm2Sc2Br5N, computed with PBE.

Computed properties:
VASP energy = -5.47 eV/atom

Cell: 18.233 3.697 8.214 Å, 90.00 102.82 90.00°
Space group C2/m (No. 12)
Symmetry-distinct sites (fractional):
Sm 0.000 0.000 0.202 [4 per cell]
Sc 0.123 0.500 0.062 [4 per cell]
Br 0.000 0.500 0.500 [2 per cell]
Br 0.165 0.000 0.311 [4 per cell]
Br 0.166 0.000 0.852 [4 per cell]
N 0.000 0.500 0.000 [2 per cell]

---

A relaxed structure of Lu2Zr, computed with PBE.

Computed properties:
formation energy from the elements = 7.47 eV/f.u.
offset from the most stable computed form = 2.011 eV per atom

Cell: 12.841 12.841 12.841 Å, 90.00 90.00 90.00°
Space group Fd-3m (No. 227, origin choice 2)
Symmetry-distinct sites (fractional):
Lu 0.000 0.000 0.000 [16 per cell]
Zr 0.125 0.125 0.125 [8 per cell]